--- w ---
Material: AlSbI2O
Method: DFT, PBEsol
State: relaxed

Cell and atoms, written as extended XYZ:
```
5
Lattice="-2.522 -0.026 3.081 -3.433 -4.105 -2.845 3.195 -4.459 2.578" Properties=species:S:1:pos:R:3 pbc="T T T"
I 1.598 -2.229 1.289
I -1.716 -2.053 -1.423
Sb -1.261 -0.013 1.540
Al -1.380 -4.295 1.406
O 0.000 0.000 0.000
```

Calculated values
Fermi-level density of states, states/eV/atom: 0.54
Space-group type: P4/mmm


--- x ---
Material: AlSbI2O
Method: DFT, PBEsol
State: relaxed

Cell and atoms, written as extended XYZ:
```
5
Lattice="5.397 0.000 0.000 0.000 5.397 0.000 0.000 0.000 5.296" Properties=species:S:1:pos:R:3 pbc="T T T"
I 0.000 2.698 0.000
I 2.698 0.000 0.000
Sb 0.000 0.000 2.648
Al 0.000 0.000 0.000
O 2.698 2.698 2.648
```

Calculated values
Fermi-level density of states, states/eV/atom: 0.81
Space-group type: P4/mmm


Most stable pick: w. Distance to second place: 495 meV per atom.


--- w ---
Material: YAl2I2
Method: DFT, PBEsol
State: relaxed

Cell and atoms, written as extended XYZ:
```
10
Lattice="-2.209 0.950 3.261 6.590 -1.431 4.881 2.296 7.965 -0.765" Properties=species:S:1:pos:R:3 pbc="T T T"
I 4.276 6.283 1.067
I 7.102 3.943 3.663
I 4.610 0.252 3.050
I 1.784 2.592 0.453
Y 0.000 0.000 0.000
Y 4.443 3.267 2.058
Al 1.622 5.619 1.979
Al 5.249 6.055 4.310
Al 5.055 1.866 5.398
Al 1.427 1.429 3.068
```

Calculated values
Fermi-level density of states, states/eV/atom: 0.63
Space-group type: P4/mbm


--- x ---
Material: YAl2I2
Method: DFT, PBEsol
State: relaxed

Cell and atoms, written as extended XYZ:
```
5
Lattice="3.714 0.000 0.000 0.000 3.714 0.000 -1.857 -1.857 11.181" Properties=species:S:1:pos:R:3 pbc="T T T"
I 0.000 0.000 9.360
I 1.857 1.857 1.821
Y 0.000 0.000 0.000
Al 0.000 1.857 5.590
Al 1.857 0.000 5.590
```

Calculated values
Fermi-level density of states, states/eV/atom: 0.57
Space-group type: I4/mmm


Most stable pick: x. Distance to second place: 343 meV per atom.


--- w ---
Material: Al2ZnI
Method: DFT, PBEsol
State: relaxed

Cell and atoms, written as extended XYZ:
```
4
Lattice="4.986 0.000 0.000 2.493 4.318 0.000 2.493 1.439 4.071" Properties=species:S:1:pos:R:3 pbc="T T T"
I 4.986 2.879 2.036
Zn 0.000 0.000 0.000
Al 2.493 1.439 1.018
Al 7.479 4.318 3.053
```

Calculated values
Fermi-level density of states, states/eV/atom: 0.54
Space-group type: Fm-3m


--- x ---
Material: Al2ZnI
Method: DFT, PBEsol
State: relaxed

Cell and atoms, written as extended XYZ:
```
8
Lattice="5.949 0.000 0.000 0.000 5.949 0.000 -2.975 -2.975 6.558" Properties=species:S:1:pos:R:3 pbc="T T T"
I 0.000 2.975 3.279
I 0.000 0.000 0.000
Zn 2.975 0.000 3.279
Zn 2.975 2.975 0.000
Al 2.006 4.462 1.640
Al 3.943 1.487 1.640
Al -1.487 -0.969 4.919
Al 1.487 0.969 4.919
```

Calculated values
Fermi-level density of states, states/eV/atom: 0.77
Space-group type: I-42d


Most stable pick: x. Distance to second place: 102 meV per atom.